Density functional theory data (PBE) for a relaxed YPa2BeO8 crystal.

Unit cell a=4.946 b=4.946 c=6.428 alpha=90.00 beta=90.00 gamma=120.00
Fractional positions:
Y 0.000 0.000 0.000
Pa 0.333 0.667 0.356
Pa 0.667 0.333 0.644
Be 0.000 0.000 0.500
O 0.164 0.327 0.669
O 0.164 0.836 0.669
O 0.327 0.164 0.331
O 0.333 0.667 0.055
O 0.667 0.333 0.945
O 0.673 0.836 0.669
O 0.836 0.164 0.331
O 0.836 0.673 0.331

Results
**Size of the total moment**: 0.0 μB/f.u.
**Formation energy from raw total energies**: -268.71 kJ per mole of atoms
**Density of states at the Fermi level**: 3.400 states/eV per cell
**Electronic total energy**: -8.52 eV per atom